The following is a DFT calculation (PBE-GGA) of Cs2PmAg2Se4 after structural relaxation.

Results
Magnetization = 0.00 μB/cell
VASP energy = -70.6 eV for the cell shown
Volume = 565.87 Å³ per cell

abc: 15.994 4.300 8.643
angles: 90.00 107.84 90.00
Space group C2/m (No. 12)
Unique sites:
Cs1 0.132 0.000 0.062 [4 per cell]
Pm1 0.000 0.000 0.500 [2 per cell]
Ag1 0.179 0.500 0.482 [4 per cell]
Se1 0.015 0.500 0.273 [4 per cell]
Se2 0.195 0.000 0.676 [4 per cell]